Entry 1:
VASP calculation (PBE) on a geometry-optimized AcDy2Al structure.

The value obtained for the formation enthalpy at 0 K is -153 meV per atom. The raw total energy comes out at -4.4164 eV/atom. As for the energy above the most stable polymorph in this dataset: 0.00 kcal/mol of atoms.

CIF file:
```
data_AcDy2Al
_chemical_formula_sum 'Ac1 Dy2 Al1'
_cell_length_a 3.6324
_cell_length_b 3.6324
_cell_length_c 9.2465
_cell_angle_alpha 90.00
_cell_angle_beta 90.00
_cell_angle_gamma 90.00
_symmetry_space_group_name_H-M 'P 1'
_symmetry_Int_Tables_number 1
loop_
_symmetry_equiv_pos_as_xyz
'x,y,z'
loop_
_atom_site_label
_atom_site_fract_x
_atom_site_fract_y
_atom_site_fract_z
Al1 0.5000 0.5000 0.0000
Dy1 0.0000 0.0000 0.1982
Ac1 0.5000 0.5000 0.5000
Dy2 0.0000 0.0000 0.8018
```

---

Entry 2:
VASP calculation (PBE) on a geometry-optimized UTl2GeS5 structure.

The uncorrected formation energy comes out at -0.6784 eV/atom. The raw total energy comes out at -5.2646 eV/atom.

CIF file:
```
data_UTl2GeS5
_chemical_formula_sum 'U2 Tl4 Ge2 S10'
_cell_length_a 4.1693
_cell_length_b 9.2765
_cell_length_c 13.6692
_cell_angle_alpha 90.00
_cell_angle_beta 90.00
_cell_angle_gamma 102.99
_symmetry_space_group_name_H-M 'P 1'
_symmetry_Int_Tables_number 1
loop_
_symmetry_equiv_pos_as_xyz
'x,y,z'
loop_
_atom_site_label
_atom_site_fract_x
_atom_site_fract_y
_atom_site_fract_z
Tl1 0.8765 0.7531 0.8298
S1 0.3395 0.6790 0.0083
S2 0.7052 0.4105 0.1498
Tl2 0.1235 0.2469 0.3298
S3 0.6605 0.3210 0.5083
U1 0.7967 0.5934 0.5302
Ge1 0.4421 0.8843 0.4306
Tl3 0.1154 0.2308 0.6706
U2 0.2033 0.4066 0.0302
S4 0.2948 0.5895 0.6498
S5 0.4980 0.9959 0.2890
S6 0.5020 0.0041 0.7890
S7 0.0496 0.0992 0.0166
S8 0.6875 0.3749 0.8991
Tl4 0.8846 0.7692 0.1706
Ge2 0.5579 0.1157 0.9306
S9 0.9504 0.9008 0.5166
S10 0.3125 0.6251 0.3991
```

---

Entry 3:
VASP calculation (PBE) on a geometry-optimized CsC2Se structure.

The uncorrected formation energy comes out at 1.8087 eV/atom. The raw total energy comes out at -3.8878 eV/atom.

CIF file:
```
data_CsC2Se
_chemical_formula_sum 'Cs2 C4 Se2'
_cell_length_a 6.4238
_cell_length_b 6.4238
_cell_length_c 6.0300
_cell_angle_alpha 57.81
_cell_angle_beta 57.81
_cell_angle_gamma 90.00
_symmetry_space_group_name_H-M 'P 1'
_symmetry_Int_Tables_number 1
loop_
_symmetry_equiv_pos_as_xyz
'x,y,z'
loop_
_atom_site_label
_atom_site_fract_x
_atom_site_fract_y
_atom_site_fract_z
C1 0.2681 0.6250 0.2500
C2 0.4819 0.1250 0.2500
C3 0.8750 0.7319 0.7500
Cs1 0.0000 0.0000 0.0000
Cs2 0.7500 0.2500 0.5000
C4 0.3750 0.5181 0.7500
Se1 0.2500 0.7500 0.5000
Se2 0.5000 0.5000 0.0000
```

---

Entry 4:
VASP calculation (PBE) on a geometry-optimized BaLa3Ir structure.

The value obtained for the formation enthalpy at 0 K is 243 meV per atom. The raw total energy comes out at -4.8706 eV/atom. As for the energy above the most stable polymorph in this dataset: 12.95 kcal/mol of atoms.

CIF file:
```
data_BaLa3Ir
_chemical_formula_sum 'Ba1 La3 Ir1'
_cell_length_a 4.1129
_cell_length_b 10.6006
_cell_length_c 10.6006
_cell_angle_alpha 139.34
_cell_angle_beta 90.00
_cell_angle_gamma 90.00
_symmetry_space_group_name_H-M 'P 1'
_symmetry_Int_Tables_number 1
loop_
_symmetry_equiv_pos_as_xyz
'x,y,z'
loop_
_atom_site_label
_atom_site_fract_x
_atom_site_fract_y
_atom_site_fract_z
Ir1 0.0000 0.4159 0.5841
La1 0.5000 0.6714 0.8376
La2 0.0000 0.2796 0.7204
La3 0.5000 0.1624 0.3286
Ba1 0.5000 0.0987 0.9013
```

---

| no. | size of the total moment (μB per formula unit) | volume (Å³/f.u.) |
| --- | --- | --- |
| 1 | 0.000 | 122.0 |
| 2 | 1.225 | 257.6 |
| 3 | 0.871 | 81.8 |
| 4 | 0.925 | 301.2 |